Record 1
DyY2Ho2Tm2Ni2Te2 | PBE-GGA | relaxed

Cell: 9.3106 9.3106 9.3106 Å, 156.19 66.90 118.52°
With the nearest neighbours (Å) after each atom.
Element x y z (fractional)
Te  0.1401  0.1401  0.0000  2 Ho 3.12, 4 Y 3.15, 1 Dy 3.21
Ho  0.7618  0.8945  0.8673  2 Ni 2.77
Ni  0.1677  0.4067  0.7610  2 Ho 2.77, 2 Tm 2.77, 2 Y 2.85
Ho  0.0272  0.8945  0.1327  2 Ni 2.77
Ni  0.6457  0.4067  0.2390  2 Ho 2.77, 2 Tm 2.77, 2 Y 2.85
Y  0.3921  0.7452  0.6469  2 Ni 2.85, 2 Te 3.15
Tm  0.4122  0.0970  0.3152  2 Ni 2.77
Te  0.7419  0.2419  0.5000  2 Dy 3.17, 4 Ho 3.17, 2 Tm 3.19
Dy  0.4776  0.4776  0.0000  3 Te 3.17-3.21
Y  0.0982  0.7452  0.3531  2 Ni 2.85, 2 Te 3.15
Tm  0.7818  0.0970  0.6848  2 Ni 2.77

Summary:
As for the volume: 25.8 A^3/atom. The calculation puts the density at 8.07 g/cm3. The space group is Imm2 (44). The magnetization comes out at 0.02 μB per cell. The value obtained for the final energy is -60.6 eV for the cell shown.



Record 2
IrAuNO | PBE-GGA | relaxed

Cell: 2.9449 7.2640 5.7937 Å, 90.00 90.00 90.00°
With the nearest neighbours (Å) after each atom.
Element x y z (fractional)
N  0.0000  0.2546  0.5279  2 Ir 1.83-1.84
Ir  0.0000  0.5025  0.4628  2 N 1.83-1.84, 2 O 2.02
O  0.5000  0.9739  0.7733  2 Ir 2.02, 1 Au 2.15
Au  0.5000  0.5229  0.8611  1 O 2.15
Au  0.5000  0.0229  0.1389  1 O 2.15
Ir  0.0000  0.0025  0.5372  2 N 1.83-1.84, 2 O 2.02
O  0.5000  0.4739  0.2267  2 Ir 2.02, 1 Au 2.15
N  0.0000  0.7546  0.4721  2 Ir 1.83-1.84

Summary:
As for the volume: 15.5 A^3/atom. The calculation puts the density at 11.23 g/cm3. The space group is Pmc2_1 (26). The magnetization comes out at 0.03 μB per cell. The value obtained for the final energy is -47.9 eV for the cell shown.



Record 3
YSnAuS3 | PBE-GGA | relaxed

Cell: 10.0605 4.0333 14.5012 Å, 90.00 90.00 90.00°
With the nearest neighbours (Å) after each atom.
Element x y z (fractional)
Sn  0.4843  0.7500  0.2943  3 S 2.71
Sn  0.5157  0.2500  0.7057  3 S 2.71
S  0.1963  0.7500  0.7924  1 Au 2.33
S  0.1537  0.2500  0.9916  1 Au 2.32
S  0.6963  0.7500  0.7076  1 Au 2.33
S  0.8037  0.2500  0.2076  1 Au 2.33
S  0.5079  0.7500  0.1084  1 Sn 2.71, 3 Y 2.75-2.80
Sn  0.9843  0.7500  0.2057  3 S 2.71
Sn  0.0157  0.2500  0.7943  3 S 2.71
S  0.0079  0.7500  0.3916  1 Sn 2.71, 3 Y 2.75-2.80
S  0.9921  0.2500  0.6084  1 Sn 2.71, 3 Y 2.75-2.80
Y  0.3297  0.7500  0.9646  6 S 2.71-2.83
Au  0.2994  0.7500  0.6484  2 S 2.32-2.33
Y  0.8297  0.7500  0.5354  6 S 2.71-2.83
Y  0.1703  0.2500  0.4646  6 S 2.71-2.83
Au  0.7006  0.2500  0.3516  2 S 2.32-2.33
Au  0.7994  0.7500  0.8516  2 S 2.32-2.33
S  0.4921  0.2500  0.8916  1 Sn 2.71, 3 Y 2.75-2.80
Y  0.6703  0.2500  0.0354  6 S 2.71-2.83
S  0.6537  0.2500  0.5084  1 Au 2.32
S  0.3463  0.7500  0.4916  1 Au 2.32
S  0.3037  0.2500  0.2924  1 Au 2.33
S  0.8463  0.7500  0.0084  1 Au 2.32
Au  0.2006  0.2500  0.1484  2 S 2.32-2.33

Summary:
As for the volume: 24.5 A^3/atom. The calculation puts the density at 5.65 g/cm3. The space group is Pnma (62). The magnetization comes out at 0.01 μB per cell. The value obtained for the final energy is -129.2 eV for the cell shown.



Q: Among the records above, which one has the highest magnetization?
A: IrAuNO



Q: Among the records above, which one has the highest final energy?
A: IrAuNO



Repeat the first record exactly.
DyY2Ho2Tm2Ni2Te2 | PBE-GGA | relaxed

Cell: 9.3106 9.3106 9.3106 Å, 156.19 66.90 118.52°
With the nearest neighbours (Å) after each atom.
Element x y z (fractional)
Te  0.1401  0.1401  0.0000  2 Ho 3.12, 4 Y 3.15, 1 Dy 3.21
Ho  0.7618  0.8945  0.8673  2 Ni 2.77
Ni  0.1677  0.4067  0.7610  2 Ho 2.77, 2 Tm 2.77, 2 Y 2.85
Ho  0.0272  0.8945  0.1327  2 Ni 2.77
Ni  0.6457  0.4067  0.2390  2 Ho 2.77, 2 Tm 2.77, 2 Y 2.85
Y  0.3921  0.7452  0.6469  2 Ni 2.85, 2 Te 3.15
Tm  0.4122  0.0970  0.3152  2 Ni 2.77
Te  0.7419  0.2419  0.5000  2 Dy 3.17, 4 Ho 3.17, 2 Tm 3.19
Dy  0.4776  0.4776  0.0000  3 Te 3.17-3.21
Y  0.0982  0.7452  0.3531  2 Ni 2.85, 2 Te 3.15
Tm  0.7818  0.0970  0.6848  2 Ni 2.77

Summary:
As for the volume: 25.8 A^3/atom. The calculation puts the density at 8.07 g/cm3. The space group is Imm2 (44). The magnetization comes out at 0.02 μB per cell. The value obtained for the final energy is -60.6 eV for the cell shown.